Here is a geometry-optimized ZrFe3F structure from the Alexandria database. Energies are from PBE with a Hubbard U.

Computed properties:
VASP energy: -19.71 eV/cell
Excess energy over the best structure of this formula in the dataset: 130.7 kJ/mol of atoms
Space-group type: Pm-3m, No. 221
Magnetization: 9.0 μB/cell

Unit cell a=5.233 b=5.233 c=5.233 alpha=90.00 beta=90.00 gamma=90.00
Last column: magnetic moment on the atom in μB.
Sites, in units of the cell vectors:
F  0.500  0.500  0.500  -0.07
Fe  0.000  0.500  0.000  3.62
Fe  0.000  0.000  0.500  3.55
Fe  0.500  0.000  0.000  3.70
Zr  0.000  0.000  0.000  -1.20

Here is a geometry-optimized ZrFe3F structure from the Alexandria database. Energies are from PBE with a Hubbard U.

Computed properties:
VASP energy: -26.48 eV/cell
Excess energy over the best structure of this formula in the dataset: 0.0 kJ/mol of atoms
Space-group type: Pm-3m, No. 221
Magnetization: 10.0 μB/cell

Unit cell a=4.425 b=4.425 c=4.425 alpha=90.00 beta=90.00 gamma=90.00
Last column: magnetic moment on the atom in μB.
Sites, in units of the cell vectors:
Zr  0.500  0.500  0.500  -0.70
Fe  0.500  0.000  0.000  3.67
Fe  0.000  0.000  0.500  3.63
Fe  0.000  0.500  0.000  3.68
F  0.000  0.000  0.000  0.13